{"formula": "Ce6CuIr", "functional": "PBE-GGA", "state": "optimized geometry", "lattice": [[-2.697, 3.454, -2.294], [-2.102, -3.497, -2.793], [-8.111, -0.897, 2.855]], "species": ["Ce", "Ce", "Ce", "Ce", "Ce", "Ce", "Cu", "Ir"], "frac_coords": [[0.108, 0.608, 0.784], [0.892, 0.392, 0.216], [0.392, 0.892, 0.216], [0.746, 0.746, 0.508], [0.608, 0.108, 0.784], [0.254, 0.254, 0.492], [0.000, 0.000, 0.000], [0.500, 0.500, 0.000]], "ef_kj_per_mol_fu": -146, "final_energy_ev_per_atom": -6.259, "dos_ef_per_ev_cell": 14.95, "spacegroup": "I4/mmm (139)"}

{"formula": "CeCuIr", "functional": "PBE-GGA", "state": "optimized geometry", "lattice": [[4.209, 0.000, 0.000], [-2.104, 4.985, 0.000], [0.000, 0.000, 5.383]], "species": ["Ce", "Ce", "Ir", "Ir", "Cu", "Cu"], "frac_coords": [[0.809, 0.617, 0.250], [0.191, 0.383, 0.750], [0.894, 0.789, 0.750], [0.106, 0.211, 0.250], [0.500, 0.000, 0.500], [0.500, 0.000, 0.000]], "ef_kj_per_mol_fu": -140, "final_energy_ev_per_atom": -6.780, "dos_ef_per_ev_cell": 6.25, "spacegroup": "Cmcm (63)"}

{"formula": "CeCu4Ir", "functional": "PBE-GGA", "state": "optimized geometry", "lattice": [[5.001, 0.000, 0.000], [2.500, 4.331, 0.000], [2.500, 1.444, 4.083]], "species": ["Cu", "Cu", "Cu", "Cu", "Ce", "Ir"], "frac_coords": [[0.128, 0.624, 0.624], [0.624, 0.128, 0.624], [0.624, 0.624, 0.624], [0.624, 0.624, 0.128], [0.000, 0.000, 0.000], [0.250, 0.250, 0.250]], "ef_kj_per_mol_fu": -107, "final_energy_ev_per_atom": -5.381, "dos_ef_per_ev_cell": 4.24, "spacegroup": "F-43m (216)"}

{"formula": "CeCuIr", "functional": "PBE-GGA", "state": "optimized geometry", "lattice": [[-2.000, -2.557, -1.522], [2.973, -1.630, -1.168], [-0.312, -0.271, 5.089]], "species": ["Ir", "Cu", "Ce"], "frac_coords": [[0.287, 0.287, 0.574], [0.626, 0.626, 0.251], [0.938, 0.938, 0.875]], "ef_kj_per_mol_fu": -66, "final_energy_ev_per_atom": -6.525, "dos_ef_per_ev_cell": 1.70, "spacegroup": "I4mm (107)"}